# TlCdGaHg, optimized geometry, DFT PBE-GGA
data_TlCdGaHg
_cell_length_a 5.228
_cell_length_b 5.228
_cell_length_c 5.228
_cell_angle_alpha 60.00
_cell_angle_beta 60.00
_cell_angle_gamma 60.00
_space_group_name_H-M_alt 'P 1'
_space_group_IT_number 1
loop_
_space_group_symop_operation_xyz
'x,y,z'
loop_
_atom_site_label
_atom_site_fract_x
_atom_site_fract_y
_atom_site_fract_z
_atom_site_occupancy
Cd1 0.750 0.750 0.750 1
Ga1 0.000 0.000 0.000 1
Hg1 0.500 0.500 0.500 1
Tl1 0.250 0.250 0.250 1
# Symmetry: F-43m

---

# Pr2Cd6Ag3, optimized geometry, DFT PBE-GGA
data_Pr2Cd6Ag3
_cell_length_a 4.676
_cell_length_b 8.159
_cell_length_c 8.159
_cell_angle_alpha 120.00
_cell_angle_beta 90.00
_cell_angle_gamma 90.00
_space_group_name_H-M_alt 'P 1'
_space_group_IT_number 1
loop_
_space_group_symop_operation_xyz
'x,y,z'
loop_
_atom_site_label
_atom_site_fract_x
_atom_site_fract_y
_atom_site_fract_z
_atom_site_occupancy
Cd1 0.000 0.000 0.791 1
Cd2 0.500 0.262 0.000 1
Cd3 0.500 0.000 0.262 1
Cd4 0.000 0.209 0.209 1
Cd5 0.000 0.791 0.000 1
Cd6 0.500 0.738 0.738 1
Pr1 0.000 0.667 0.333 1
Pr2 0.000 0.333 0.667 1
Ag1 0.500 0.595 0.000 1
Ag2 0.500 0.405 0.405 1
Ag3 0.500 0.000 0.595 1
# Symmetry: P-62m

---

# Ca2PrHg8, optimized geometry, DFT PBE-GGA
data_Ca2PrHg8
_cell_length_a 5.191
_cell_length_b 7.919
_cell_length_c 8.548
_cell_angle_alpha 117.59
_cell_angle_beta 107.68
_cell_angle_gamma 90.00
_space_group_name_H-M_alt 'P 1'
_space_group_IT_number 1
loop_
_space_group_symop_operation_xyz
'x,y,z'
loop_
_atom_site_label
_atom_site_fract_x
_atom_site_fract_y
_atom_site_fract_z
_atom_site_occupancy
Hg1 0.359 0.166 0.719 1
Hg2 0.000 0.695 0.000 1
Hg3 0.000 0.305 0.000 1
Hg4 0.640 0.447 0.281 1
Hg5 0.153 0.153 0.306 1
Hg6 0.847 0.847 0.694 1
Hg7 0.641 0.834 0.281 1
Hg8 0.360 0.553 0.719 1
Ca1 0.208 0.708 0.417 1
Ca2 0.792 0.292 0.583 1
Pr1 0.500 0.000 0.000 1
# Symmetry: Immm

---

# Ac2Ni12P3Pd, optimized geometry, DFT PBE-GGA
data_Ac2Ni12P3Pd
_cell_length_a 7.365
_cell_length_b 7.365
_cell_length_c 7.365
_cell_angle_alpha 63.15
_cell_angle_beta 63.15
_cell_angle_gamma 63.15
_space_group_name_H-M_alt 'P 1'
_space_group_IT_number 1
loop_
_space_group_symop_operation_xyz
'x,y,z'
loop_
_atom_site_label
_atom_site_fract_x
_atom_site_fract_y
_atom_site_fract_z
_atom_site_occupancy
P1 0.500 0.000 0.000 1
P2 0.000 0.500 0.000 1
P3 0.000 0.000 0.500 1
Ni1 0.664 0.664 0.099 1
Ni2 0.664 0.099 0.664 1
Ni3 0.336 0.336 0.901 1
Ni4 0.619 0.120 0.120 1
Ni5 0.336 0.901 0.336 1
Ni6 0.120 0.120 0.619 1
Ni7 0.099 0.664 0.664 1
Ni8 0.120 0.619 0.120 1
Ni9 0.381 0.880 0.880 1
Ni10 0.901 0.336 0.336 1
Ni11 0.880 0.381 0.880 1
Ni12 0.880 0.880 0.381 1
Ac1 0.615 0.615 0.615 1
Ac2 0.385 0.385 0.385 1
Pd1 0.000 0.000 0.000 1
# Symmetry: R-3m

---

Which DFT formation energy belongs to each record? In order, 0.122; -0.157; -0.356; -0.015 eV/atom.